DFT (PBE) results for a relaxed structure of HoTmCu2Ge2.

- Total moment: 0.0 μB per cell
- VASP energy: -5.091 eV per atom
- ΔH_f (0 K): -0.68 eV/atom

Unit cell a=4.221 b=4.221 c=7.301 alpha=90.00 beta=90.00 gamma=120.00
Sites, in units of the cell vectors:
Ho: 0.000 0.000 0.000
Tm: 0.000 0.000 0.500
Cu: 0.333 0.667 0.744
Cu: 0.667 0.333 0.256
Ge: 0.333 0.667 0.252
Ge: 0.667 0.333 0.748


DFT (PBE) results for a relaxed structure of As2HSe2.

- Total moment: 1.0 μB per cell
- VASP energy: -3.297 eV per atom
- Energy above the most stable polymorph in this dataset: 0.082 eV per formula unit

Unit cell a=6.909 b=6.909 c=6.909 alpha=138.15 beta=138.15 gamma=60.67
Sites, in units of the cell vectors:
As: 0.250 0.750 0.500
As: 0.750 0.250 0.500
H: 0.000 0.000 0.000
Se: 0.332 0.332 0.000
Se: 0.668 0.668 0.000


DFT (PBE) results for a relaxed structure of Tb3SmAu.

- Total moment: 0.0 μB per cell
- VASP energy: -4.667 eV per atom
- ΔH_f (0 K): -0.29 eV/atom

Unit cell a=6.596 b=5.352 c=8.404 alpha=90.00 beta=100.68 gamma=90.00
Sites, in units of the cell vectors:
Tb: 0.143 0.250 0.495
Tb: 0.224 0.750 0.225
Tb: 0.301 0.250 0.940
Tb: 0.699 0.750 0.060
Tb: 0.776 0.250 0.775
Tb: 0.857 0.750 0.505
Sm: 0.404 0.750 0.671
Sm: 0.596 0.250 0.329
Au: 0.043 0.750 0.851
Au: 0.957 0.250 0.149


DFT (PBE) results for a relaxed structure of Pr2ErCd3.

- Total moment: 1.0 μB per cell
- VASP energy: -3.122 eV per atom
- ΔH_f (0 K): -0.31 eV/atom
- Energy above the most stable polymorph in this dataset: 0.000 eV per formula unit

Unit cell a=3.785 b=3.785 c=11.743 alpha=90.00 beta=90.00 gamma=90.00
Sites, in units of the cell vectors:
Pr: 0.000 0.000 0.173
Pr: 0.000 0.000 0.827
Er: 0.000 0.000 0.500
Cd: 0.500 0.500 0.000
Cd: 0.500 0.500 0.350
Cd: 0.500 0.500 0.650


DFT (PBE) results for a relaxed structure of AcLa2Tc.

- Total moment: 0.0 μB per cell
- VASP energy: -6.021 eV per atom
- ΔH_f (0 K): 0.06 eV/atom
- Energy above the most stable polymorph in this dataset: 0.000 eV per formula unit

Unit cell a=7.031 b=6.750 c=14.140 alpha=90.00 beta=118.39 gamma=90.00
Sites, in units of the cell vectors:
Ac: 0.186 0.246 0.254
Ac: 0.186 0.254 0.754
Ac: 0.814 0.746 0.246
Ac: 0.814 0.754 0.746
La: 0.149 0.740 0.076
La: 0.149 0.760 0.576
La: 0.488 0.727 0.920
La: 0.488 0.773 0.420
La: 0.512 0.227 0.580
La: 0.512 0.273 0.080
La: 0.851 0.240 0.424
La: 0.851 0.260 0.924
Tc: 0.159 0.542 0.909
Tc: 0.159 0.958 0.409
Tc: 0.841 0.042 0.591
Tc: 0.841 0.458 0.091


DFT (PBE) results for a relaxed structure of SiMoAu2.

- Total moment: 0.0 μB per cell
- VASP energy: -5.571 eV per atom

Unit cell a=3.075 b=3.141 c=6.765 alpha=90.00 beta=90.00 gamma=90.00
Sites, in units of the cell vectors:
Si: 0.000 0.000 0.000
Mo: 0.500 0.500 0.815
Au: 0.000 0.000 0.539
Au: 0.500 0.500 0.246